# PBE As2P, optimized geometry
data_As2P
_symmetry_space_group_name_H-M 'P 1'
_symmetry_Int_Tables_number 1
_cell_length_a 5.973
_cell_length_b 5.978
_cell_length_c 6.528
_cell_angle_alpha 107.03
_cell_angle_beta 106.46
_cell_angle_gamma 111.73
loop_
_symmetry_equiv_pos_as_xyz
'x,y,z'
loop_
_atom_site_label
_atom_site_fract_x
_atom_site_fract_y
_atom_site_fract_z
As1 0.000 0.000 0.000
As2 0.093 0.621 0.549
As3 0.282 0.773 0.994
As4 0.627 0.384 0.494
P1 0.452 0.228 0.072
P2 0.833 0.842 0.576
# formation energy = 0.145 eV per atom

# PBE AgBF2, optimized geometry
data_AgBF2
_symmetry_space_group_name_H-M 'R -3 m'
_symmetry_Int_Tables_number 166
_symmetry_space_group_name_Hall '-R 3 2"'
_cell_length_a 2.8140
_cell_length_b 2.8140
_cell_length_c 30.2801
_cell_angle_alpha 90.00
_cell_angle_beta 90.00
_cell_angle_gamma 120.00
loop_
_atom_site_label
_atom_site_fract_x
_atom_site_fract_y
_atom_site_fract_z
Ag1 0.0000 0.0000 0.0000
B1 0.0000 0.0000 0.5000
F1 0.0000 0.0000 0.4560
# formation energy from raw total energies = -0.8772 eV per atom

Sequential density output: 3.23, 3.76 g/cm³
Sequential total magnetization output: 0.00, 0.60 μB/f.u.
Sequential polymorph energy (0 for the lowest one) output: 8.3, 0.0 kJ per mole of atoms